Entry from Alexandria: a relaxed structure of SrLiAg2 (PBE).

calculated volume	25.486	Å³ per atom
calculated formation energy	-148	meV/atom
ΔE to the lowest computed polymorph	0.105	eV/atom

Cell: 3.872 4.680 5.627 Å, 90.00 91.35 90.00°
Space group Pm (No. 6)
Asymmetric unit:
Sr (0.000, 0.000, 0.000) x1
Li (0.025, 0.500, 0.538) x1
Ag (0.507, 0.500, 0.198) x1
Ag (0.508, 0.000, 0.500) x1